Entry 1:
A plane-wave DFT calculation with PBE was carried out for NdSm2Y2Th after structural relaxation.

a b c (Å): 6.1645 18.3191 3.5782
angles (deg): 90.00 90.00 90.00
Closest atoms and distances in Å follow each position.
Space group Pnnm (No. 58)
Symmetry-distinct sites (fractional):
Nd 0.0000 0.0000 0.0000 x2  2 Sm 3.51, 4 Th 3.56, 4 Y 3.57, 2 Nd 3.58
Sm 0.1622 0.3455 0.5000 x4  5 Y 3.42-3.60, 2 Th 3.49, 1 Nd 3.51, 2 Sm 3.58
Y 0.1695 0.1590 0.5000 x4  5 Sm 3.42-3.60, 1 Th 3.55, 2 Nd 3.57, 2 Y 3.58
Th 0.0000 0.5000 0.0000 x2  4 Sm 3.49, 2 Y 3.55, 4 Nd 3.56, 2 Th 3.58

Output
density	7.0	Mg/m³
calculated total energy	-0.4164	Ry per atom
calculated formation energy	0.094	eV/atom
size of the total moment	0.000	μB per cell


Entry 2:
A plane-wave DFT calculation with PBE was carried out for NdSm6Y2Th after structural relaxation.

a b c (Å): 9.5498 15.0061 9.5246
angles (deg): 90.00 95.61 90.00
Closest atoms and distances in Å follow each position.
Space group C2/c (No. 15)
Symmetry-distinct sites (fractional):
Nd 0.0000 0.0934 0.2500 x4  6 Sm 3.49-3.51, 2 Y 3.58
Sm 0.0643 0.3282 0.4375 x8  7 Sm 3.49-3.87, 2 Y 3.52-3.83, 2 Th 3.63-3.70
Sm 0.0904 0.1134 0.6144 x8  3 Sm 3.24-3.49, 3 Y 3.36-3.51, 2 Nd 3.50-3.51
Sm 0.2056 0.2805 0.8130 x8  1 Sm 3.27, 1 Th 3.39, 1 Y 3.47, 1 Nd 3.49
Y 0.2462 0.4535 0.0559 x8  6 Sm 3.36-3.74, 2 Th 3.37-3.56, 1 Nd 3.58
Th 0.0000 0.4628 0.7500 x4  4 Y 3.37-3.56, 6 Sm 3.39-3.70

Output
density	7.1	Mg/m³
calculated total energy	-0.3818	Ry per atom
calculated formation energy	0.148	eV/atom
size of the total moment	0.000	μB per cell


Entry 3:
A plane-wave DFT calculation with PBE was carried out for NdSmYTh after structural relaxation.

a b c (Å): 3.6321 3.6321 35.1125
angles (deg): 90.00 90.00 120.00
Closest atoms and distances in Å follow each position.
Space group R3m (No. 160, hexagonal axes)
Symmetry-distinct sites (fractional):
Nd 0.0000 0.0000 0.0000 x3  3 Th 3.57, 6 Nd 3.63, 3 Y 3.65
Sm 0.0000 0.0000 0.8305 x3  3 Th 3.55, 6 Sm 3.63, 3 Y 3.63
Y 0.0000 0.0000 0.2484 x3  6 Y 3.63, 3 Sm 3.63, 3 Nd 3.65
Th 0.0000 0.0000 0.4157 x3  3 Sm 3.55, 3 Nd 3.57, 6 Th 3.63

Output
ΔE to the lowest computed polymorph	0	meV per atom
density	7.6	Mg/m³
calculated total energy	-0.4278	Ry per atom
calculated formation energy	0.022	eV/atom
size of the total moment	0.035	μB per cell


Entry 4:
A plane-wave DFT calculation with PBE was carried out for Nd2Sm3Y6Th after structural relaxation.

a b c (Å): 6.2640 10.8427 11.8586
angles (deg): 90.00 100.13 90.00
Closest atoms and distances in Å follow each position.
Space group C2/m (No. 12)
Symmetry-distinct sites (fractional):
Nd 0.0000 0.1666 0.0000 x4  6 Y 3.58-3.59, 3 Nd 3.61-3.62, 3 Th 3.61-3.62
Sm 0.0000 0.0000 0.5000 x2  6 Y 3.59-3.61, 6 Sm 3.61-3.62
Sm 0.0000 0.3328 0.5000 x4  6 Y 3.59-3.61, 6 Sm 3.61-3.63
Y 0.2461 0.5000 0.7509 x4  1 Th 3.56, 6 Y 3.57-3.64, 2 Nd 3.59, 3 Sm 3.59-3.61
Y 0.2481 0.3352 0.2491 x8  1 Th 3.57, 6 Y 3.57-3.64, 2 Nd 3.58-3.59, 3 Sm 3.59-3.61
Th 0.0000 0.5000 0.0000 x2  6 Y 3.56-3.57, 6 Nd 3.61-3.62

Output
density	6.3	Mg/m³
calculated total energy	-0.4264	Ry per atom
calculated formation energy	0.023	eV/atom
size of the total moment	0.000	μB per cell